PBE-GGA PmHo7Mg2, relaxed; calculated formation energy = 592 meV per atom; SG = Cmmm, No. 65; total magnetic moment = 0.00 μB per formula unit
1.0
-0.1810 -5.3034 -0.0729
2.0759 -0.1939 8.9479
-8.6206 0.3377 -3.1597
Ho Mg Pm
7 2 1
Direct
0.5000 0.5000 0.5000 Ho
0.5000 0.0681 0.2957 Ho
0.5000 0.7043 0.9319 Ho
0.5000 0.9319 0.7043 Ho
0.5000 0.2957 0.0681 Ho
0.0000 0.2128 0.7872 Ho
0.0000 0.7872 0.2128 Ho
0.5000 0.7019 0.2981 Mg
0.5000 0.2981 0.7019 Mg
0.0000 0.0000 0.0000 Pm